NdErAlAg PBE-GGA optimized geometry; mass density = 7.36 g/cm³; formation enthalpy at 0 K = -308 meV/atom; energy above the most stable polymorph in this dataset = 0.0376 eV/atom; symmetry = F-43m; M_tot = 0.00 μB per formula unit; N(E_F) = 1.001 states/eV per atom
1.0
0.0000 3.6923 3.6923
3.6923 0.0000 3.6923
3.6923 3.6923 0.0000
Nd Er Al Ag
1 1 1 1
Cartesian
0.0000 0.0000 0.0000 Nd
3.6923 3.6923 3.6923 Er
5.5385 5.5385 5.5385 Al
1.8462 1.8462 1.8462 Ag

***

VSnC3 PBE-GGA optimized geometry; mass density = 5.31 g/cm³; formation enthalpy at 0 K = 1635 meV/atom; energy above the most stable polymorph in this dataset = 0.0000 eV/atom; symmetry = Pm-3m; M_tot = 0.00 μB per formula unit; N(E_F) = 0.882 states/eV per atom
1.0
4.0065 0.0000 0.0000
0.0000 4.0065 0.0000
0.0000 0.0000 4.0065
V Sn C
1 1 3
Cartesian
0.0000 0.0000 0.0000 V
2.0033 2.0033 2.0033 Sn
0.0000 0.0000 2.0033 C
0.0000 2.0033 0.0000 C
2.0033 0.0000 0.0000 C

***

LaY2Tl2 PBE-GGA optimized geometry; mass density = 7.96 g/cm³; formation enthalpy at 0 K = -304 meV/atom; energy above the most stable polymorph in this dataset = 0.0260 eV/atom; symmetry = P2_1/m; M_tot = 0.00 μB per formula unit; N(E_F) = 1.137 states/eV per atom
1.0
3.8382 0.0000 0.0000
0.0000 5.5423 0.0000
-1.9228 0.0000 14.2259
La Y Tl
2 4 4
Cartesian
-0.0047 1.3856 4.1679 La
1.9201 4.1567 10.0580 La
-0.0015 4.1567 1.4300 Y
-0.0033 4.1567 6.7220 Y
1.9187 1.3856 7.5039 Y
1.9169 1.3856 12.7959 Y
-0.0013 1.3856 10.1010 Tl
-0.0071 4.1567 12.9554 Tl
1.9225 1.3856 1.2705 Tl
1.9166 4.1567 4.1249 Tl